## A
A plane-wave DFT calculation with SCAN was carried out for a PBEsol-optimized structure of CdRh2W.

## Properties
Total magnetic moment, μB per atom: 0.000
Space-group type: P4mm (99)

abc: 3.367 3.367 5.547
angles: 90.00 90.00 90.00
Sites, in units of the cell vectors:
Cd (0.500, 0.500, 0.767)
Rh (0.000, 0.000, 0.007)
Rh (0.500, 0.500, 0.274)
W (0.000, 0.000, 0.452)

## B
A plane-wave DFT calculation with SCAN was carried out for a PBEsol-optimized structure of CdRh2W.

## Properties
Total magnetic moment, μB per atom: 0.000
Space-group type: P4/mmm (123)

abc: 2.830 2.830 7.582
angles: 90.00 90.00 90.00
Sites, in units of the cell vectors:
Rh (0.000, 0.000, 0.769)
Rh (0.000, 0.000, 0.231)
W (0.500, 0.500, 0.000)
Cd (0.500, 0.500, 0.500)

Winner for stability: B

## A
A plane-wave DFT calculation with SCAN was carried out for a PBEsol-optimized structure of CdSbTe2Ru.

## Properties
Total magnetic moment, μB per atom: 0.595
Space-group type: P4/mmm (123)

abc: 5.289 5.408 5.408
angles: 90.00 90.00 90.00
Site moments in Bohr magnetons follow the coordinates.
Sites, in units of the cell vectors:
Sb (0.500, 0.000, 0.000)  0.00
Te (0.000, 0.000, 0.500)  -0.02
Te (0.000, 0.500, 0.000)  -0.02
Ru (0.500, 0.500, 0.500)  2.74
Cd (0.000, 0.000, 0.000)  0.00

## B
A plane-wave DFT calculation with SCAN was carried out for a PBEsol-optimized structure of CdSbTe2Ru.

## Properties
Total magnetic moment, μB per atom: 0.000
Space-group type: P4/mmm (123)

abc: 4.911 5.284 5.284
angles: 90.00 90.00 90.00
Sites, in units of the cell vectors:
Sb (0.500, 0.000, 0.000)
Te (0.000, 0.000, 0.500)
Te (0.000, 0.500, 0.000)
Ru (0.000, 0.000, 0.000)
Cd (0.500, 0.500, 0.500)

Winner for stability: B

## A
A plane-wave DFT calculation with SCAN was carried out for a PBEsol-optimized structure of CdRuSe.

## Properties
Total magnetic moment, μB per atom: 0.001
Space-group type: P-6m2 (187)

abc: 3.436 4.205 4.205
angles: 120.00 90.00 90.00
Sites, in units of the cell vectors:
Cd (0.500, 0.000, 0.000)
Ru (0.000, 0.333, 0.667)
Se (0.000, 0.667, 0.333)

## B
A plane-wave DFT calculation with SCAN was carried out for a PBEsol-optimized structure of CdRuSe.

## Properties
Total magnetic moment, μB per atom: 0.591
Space-group type: F-43m (216)

abc: 4.316 4.316 4.316
angles: 60.00 60.00 60.00
Site moments in Bohr magnetons follow the coordinates.
Sites, in units of the cell vectors:
Cd (0.000, 0.000, 0.000)  -0.02
Ru (0.500, 0.500, 0.500)  1.66
Se (0.250, 0.250, 0.250)  0.05

Winner for stability: A

## A
A plane-wave DFT calculation with SCAN was carried out for a PBEsol-optimized structure of Cd2TcRu.

## Properties
Total magnetic moment, μB per atom: 0.799
Space-group type: P4/mmm (123)

abc: 3.856 3.856 4.363
angles: 90.00 90.00 90.00
Site moments in Bohr magnetons follow the coordinates.
Sites, in units of the cell vectors:
Cd (0.000, 0.500, 0.000)  -0.03
Cd (0.500, 0.000, 0.000)  -0.03
Ru (0.500, 0.500, 0.500)  1.46
Tc (0.000, 0.000, 0.500)  1.81

## B
A plane-wave DFT calculation with SCAN was carried out for a PBEsol-optimized structure of Cd2TcRu.

## Properties
Total magnetic moment, μB per atom: 0.109
Space-group type: Immm (71)

abc: 2.945 4.617 5.488
angles: 114.88 105.56 90.00
Site moments in Bohr magnetons follow the coordinates.
Sites, in units of the cell vectors:
Cd (0.754, 0.754, 0.508)  0.00
Cd (0.246, 0.246, 0.492)  0.00
Ru (0.500, 0.000, 0.000)  0.24
Tc (0.000, 0.500, 0.000)  0.20

Winner for stability: B

## A
A plane-wave DFT calculation with SCAN was carried out for a PBEsol-optimized structure of CdTcRu.

## Properties
Total magnetic moment, μB per atom: 0.000
Space-group type: P3m1 (156)

abc: 2.810 4.363 4.363
angles: 120.00 90.00 90.00
Sites, in units of the cell vectors:
Cd (0.995, 0.000, 0.000)
Ru (0.561, 0.667, 0.333)
Tc (0.444, 0.333, 0.667)

## B
A plane-wave DFT calculation with SCAN was carried out for a PBEsol-optimized structure of CdTcRu.

## Properties
Total magnetic moment, μB per atom: 0.000
Space-group type: I4mm (107)

abc: 2.820 2.820 6.168
angles: 103.22 103.22 90.00
Sites, in units of the cell vectors:
Cd (0.001, 0.001, 0.003)
Ru (0.683, 0.683, 0.367)
Tc (0.315, 0.315, 0.631)

Winner for stability: B

## A
A plane-wave DFT calculation with SCAN was carried out for a PBEsol-optimized structure of Tl2CdRu.

## Properties
Total magnetic moment, μB per atom: 0.000
Space-group type: R3m (160)

abc: 3.174 3.174 9.842
angles: 80.72 80.72 60.00
Sites, in units of the cell vectors:
Cd (0.511, 0.511, 0.467)
Ru (0.249, 0.249, 0.253)
Tl (0.988, 0.988, 0.037)
Tl (0.752, 0.752, 0.743)

## B
A plane-wave DFT calculation with SCAN was carried out for a PBEsol-optimized structure of Tl2CdRu.

## Properties
Total magnetic moment, μB per atom: 0.107
Space-group type: Pmm2 (25)

abc: 3.579 3.789 5.894
angles: 90.00 90.00 90.00
Site moments in Bohr magnetons follow the coordinates.
Sites, in units of the cell vectors:
Cd (0.000, 0.000, 0.513)  -0.02
Ru (0.500, 0.500, 0.750)  0.53
Tl (0.000, 0.000, 0.975)  -0.02
Tl (0.500, 0.500, 0.262)  -0.01

Winner for stability: A

## A
A plane-wave DFT calculation with SCAN was carried out for a PBEsol-optimized structure of Cd2TeS.

## Properties
Total magnetic moment, μB per atom: 0.000
Space-group type: P3m1 (156)

abc: 4.345 4.345 7.140
angles: 90.00 90.00 120.00
Sites, in units of the cell vectors:
S (0.333, 0.667, 0.880)
Te (0.000, 0.000, 0.369)
Cd (0.333, 0.667, 0.528)
Cd (0.000, 0.000, 0.975)

## B
A plane-wave DFT calculation with SCAN was carried out for a PBEsol-optimized structure of Cd2TeS.

## Properties
Total magnetic moment, μB per atom: 0.000
Space-group type: I-42d (122)

abc: 6.160 6.160 7.513
angles: 114.20 114.20 90.00
Sites, in units of the cell vectors:
S (0.750, 0.250, 0.500)
S (0.500, 0.500, 0.000)
Te (0.250, 0.750, 0.500)
Te (0.000, 0.000, 0.000)
Cd (0.411, 0.875, 0.250)
Cd (0.839, 0.375, 0.250)
Cd (0.125, 0.161, 0.750)
Cd (0.625, 0.589, 0.750)

Winner for stability: B

## A
A plane-wave DFT calculation with SCAN was carried out for a PBEsol-optimized structure of CdSb.

## Properties
Total magnetic moment, μB per atom: 0.000
Space-group type: Pbca (61)

abc: 6.435 8.249 8.536
angles: 90.00 90.00 90.00
Sites, in units of the cell vectors:
Sb (0.140, 0.075, 0.105)
Sb (0.640, 0.425, 0.895)
Sb (0.860, 0.575, 0.395)
Sb (0.360, 0.925, 0.605)
Sb (0.860, 0.925, 0.895)
Sb (0.360, 0.575, 0.105)
Sb (0.140, 0.425, 0.605)
Sb (0.640, 0.075, 0.395)
Cd (0.454, 0.120, 0.868)
Cd (0.954, 0.380, 0.132)
Cd (0.546, 0.620, 0.632)
Cd (0.046, 0.880, 0.368)
Cd (0.546, 0.880, 0.132)
Cd (0.046, 0.620, 0.868)
Cd (0.454, 0.380, 0.368)
Cd (0.954, 0.120, 0.632)

## B
A plane-wave DFT calculation with SCAN was carried out for a PBEsol-optimized structure of CdSb.

## Properties
Total magnetic moment, μB per atom: 0.000
Space-group type: Immm (71)

abc: 3.132 5.402 5.850
angles: 90.00 90.00 90.00
Sites, in units of the cell vectors:
Sb (0.000, 0.500, 0.250)
Sb (0.500, 0.000, 0.750)
Cd (0.000, 0.500, 0.750)
Cd (0.500, 0.000, 0.250)

## C
A plane-wave DFT calculation with SCAN was carried out for a PBEsol-optimized structure of CdSb.

## Properties
Total magnetic moment, μB per atom: 0.000
Space-group type: R-3m (166)

abc: 4.096 4.096 7.661
angles: 74.49 74.49 60.00
Sites, in units of the cell vectors:
Sb (0.126, 0.126, 0.623)
Sb (0.874, 0.874, 0.377)
Cd (0.372, 0.372, 0.883)
Cd (0.628, 0.628, 0.117)

## D
A plane-wave DFT calculation with SCAN was carried out for a PBEsol-optimized structure of CdSb.

## Properties
Total magnetic moment, μB per atom: 0.000
Space-group type: Pmmn (59)

abc: 3.211 4.771 6.643
angles: 90.00 90.00 90.00
Sites, in units of the cell vectors:
Sb (0.500, 0.000, 0.168)
Sb (0.000, 0.500, 0.832)
Cd (0.000, 0.000, 0.587)
Cd (0.500, 0.500, 0.413)

Winner for stability: A

## A
A plane-wave DFT calculation with SCAN was carried out for a PBEsol-optimized structure of Cd3Sb.

## Properties
Total magnetic moment, μB per atom: 0.000
Space-group type: Pmmm (47)

abc: 3.107 4.420 6.627
angles: 90.00 90.00 90.00
Sites, in units of the cell vectors:
Sb (0.000, 0.000, 0.000)
Cd (0.500, 0.500, 0.731)
Cd (0.000, 0.000, 0.500)
Cd (0.500, 0.500, 0.269)

## B
A plane-wave DFT calculation with SCAN was carried out for a PBEsol-optimized structure of Cd3Sb.

## Properties
Total magnetic moment, μB per atom: 0.000
Space-group type: Pnma (62)

abc: 5.046 8.404 8.841
angles: 90.00 90.00 90.00
Sites, in units of the cell vectors:
Cd (0.856, 0.150, 0.250)
Cd (0.644, 0.650, 0.750)
Cd (0.356, 0.350, 0.250)
Cd (0.144, 0.850, 0.750)
Cd (0.324, 0.643, 0.018)
Cd (0.176, 0.143, 0.982)
Cd (0.824, 0.857, 0.482)
Cd (0.676, 0.357, 0.518)
Cd (0.676, 0.357, 0.982)
Cd (0.824, 0.857, 0.018)
Cd (0.176, 0.143, 0.518)
Cd (0.324, 0.643, 0.482)
Sb (0.919, 0.586, 0.250)
Sb (0.581, 0.086, 0.750)
Sb (0.419, 0.914, 0.250)
Sb (0.081, 0.414, 0.750)

Winner for stability: B

## A
A plane-wave DFT calculation with SCAN was carried out for a PBEsol-optimized structure of CdSb3.

## Properties
Total magnetic moment, μB per atom: 0.000
Space-group type: R-3m (166)

abc: 3.282 3.282 11.004
angles: 81.42 81.42 60.00
Sites, in units of the cell vectors:
Sb (0.746, 0.746, 0.763)
Sb (0.500, 0.500, 0.500)
Sb (0.254, 0.254, 0.237)
Cd (0.000, 0.000, 0.000)

## B
A plane-wave DFT calculation with SCAN was carried out for a PBEsol-optimized structure of CdSb3.

## Properties
Total magnetic moment, μB per atom: 0.000
Space-group type: P2/m (10)

abc: 3.081 4.188 8.509
angles: 90.00 98.92 90.00
Sites, in units of the cell vectors:
Sb (0.125, 0.500, 0.762)
Sb (0.000, 0.000, 0.500)
Sb (0.875, 0.500, 0.238)
Cd (0.000, 0.000, 0.000)

Winner for stability: B

## A
A plane-wave DFT calculation with SCAN was carried out for a PBEsol-optimized structure of Cd5Sb.

## Properties
Total magnetic moment, μB per atom: 0.000
Space-group type: Cmmm (65)

abc: 4.454 4.438 7.092
angles: 90.00 108.30 90.00
Sites, in units of the cell vectors:
Sb (0.500, 0.000, 0.000)
Cd (0.328, 0.500, 0.657)
Cd (0.171, 0.000, 0.343)
Cd (0.000, 0.500, 0.000)
Cd (0.829, 0.000, 0.657)
Cd (0.672, 0.500, 0.343)

## B
A plane-wave DFT calculation with SCAN was carried out for a PBEsol-optimized structure of Cd5Sb.

## Properties
Total magnetic moment, μB per atom: 0.000
Space-group type: P4/mmm (123)

abc: 3.178 3.178 13.116
angles: 90.00 90.00 90.00
Sites, in units of the cell vectors:
Sb (0.500, 0.500, 0.000)
Cd (0.000, 0.000, 0.818)
Cd (0.000, 0.000, 0.182)
Cd (0.500, 0.500, 0.660)
Cd (0.500, 0.500, 0.340)
Cd (0.000, 0.000, 0.500)

Winner for stability: A

## A
A plane-wave DFT calculation with SCAN was carried out for a PBEsol-optimized structure of Cd5Sb.

## Properties
Total magnetic moment, μB per atom: 0.000
Space-group type: Amm2 (38)

abc: 2.955 5.563 8.373
angles: 90.00 100.17 90.00
Sites, in units of the cell vectors:
Sb (0.138, 0.500, 0.276)
Cd (0.973, 0.000, 0.945)
Cd (0.307, 0.000, 0.614)
Cd (0.640, 0.000, 0.280)
Cd (0.466, 0.500, 0.933)
Cd (0.810, 0.500, 0.619)

## B
A plane-wave DFT calculation with SCAN was carried out for a PBEsol-optimized structure of Cd5Sb.

## Properties
Total magnetic moment, μB per atom: 0.000
Space-group type: P-62m (189)

abc: 5.479 5.330 5.330
angles: 120.00 90.00 90.00
Sites, in units of the cell vectors:
Sb (0.500, 0.000, 0.000)
Cd (0.000, 0.340, 0.340)
Cd (0.000, 0.660, 0.000)
Cd (0.000, 0.000, 0.660)
Cd (0.500, 0.333, 0.667)
Cd (0.500, 0.667, 0.333)

Winner for stability: A

## A
A plane-wave DFT calculation with SCAN was carried out for a PBEsol-optimized structure of Sr2CdSb.

## Properties
Total magnetic moment, μB per atom: 0.000
Space-group type: P4/mmm (123)

abc: 4.369 5.348 5.348
angles: 90.00 90.00 90.00
Sites, in units of the cell vectors:
Sb (0.500, 0.875, 0.500)
Sr (0.000, 0.875, 0.000)
Sr (0.000, 0.375, 0.500)
Cd (0.500, 0.375, 0.000)

## B
A plane-wave DFT calculation with SCAN was carried out for a PBEsol-optimized structure of Sr2CdSb.

## Properties
Total magnetic moment, μB per atom: 0.000
Space-group type: Amm2 (38)

abc: 4.681 4.672 6.517
angles: 111.00 90.00 90.00
Sites, in units of the cell vectors:
Sb (0.500, 0.704, 0.409)
Sr (0.500, 0.987, 0.974)
Sr (0.000, 0.264, 0.528)
Cd (0.000, 0.544, 0.089)

Winner for stability: B